1.
## MgScCr2 (PBE)

Data for a relaxed MgScCr2 crystal.

Unit cell a=3.0614 b=3.0614 c=27.5790 alpha=90.00 beta=90.00 gamma=120.00
Closest atoms and distances in Å follow each position.
Space group R-3m (No. 166, hexagonal axes)
Inequivalent atoms, fractional coordinates:
Mg1 0.0000 0.0000 0.0000 (multiplicity 3)  6 Cr 2.92, 6 Mg 3.06
Sc1 0.0000 0.0000 0.5000 (multiplicity 3)  6 Cr 2.88, 6 Sc 3.06
Cr1 0.0000 0.0000 0.2489 (multiplicity 6)  3 Sc 2.88, 3 Mg 2.92, 6 Cr 3.06

Computed properties:
DFT total energy (eV per formula unit): -24.8
Volume (A^3/atom): 18.654
Magnetization (μB/f.u.): 6.40
DOS(E_F) (states/eV/f.u.): 4.828

***

2.
## MgScCr2 (PBE)

Data for a relaxed MgScCr2 crystal.

Unit cell a=2.7561 b=4.5608 c=5.4787 alpha=90.00 beta=100.61 gamma=90.00
Closest atoms and distances in Å follow each position.
Space group P2/m (No. 10)
Inequivalent atoms, fractional coordinates:
Mg1 0.0000 0.0000 0.0000 (multiplicity 1)  2 Mg 2.76, 2 Sc 2.83, 4 Cr 2.93
Sc1 0.5000 0.0000 0.5000 (multiplicity 1)  8 Cr 2.72-3.01, 2 Sc 2.76, 2 Mg 2.83
Cr1 0.1787 0.5000 0.6913 (multiplicity 2)  1 Cr 2.15

Computed properties:
DFT total energy (eV per formula unit): -25.1
Volume (A^3/atom): 16.922
Magnetization (μB/f.u.): 0.00
DOS(E_F) (states/eV/f.u.): 5.321

***

Number 1: energy relative to the elements 0.59 eV per atom. Number 2: energy relative to the elements 0.52 eV per atom.